1.
VASP calculation (PBE) on crystalline RbGeSb at its relaxed geometry.

abc: 4.2275 4.2275 20.4834
angles: 90.00 90.00 120.00
Space group R3m (No. 160, hexagonal axes)
One atom of each set of equivalent atoms:
Rb  0.0000  0.0000  0.0000
Ge  0.0000  0.0000  0.2040
Sb  0.0000  0.0000  0.8061

Results
Total moment, μB per cell: 0.00
Crystal system: trigonal
Uncorrected formation energy, meV/atom: -248
DOS at the Fermi energy, states/eV/atom: 0.024
Calculated volume, Å³ per cell: 317.03
E, eV per formula unit: -10.5

=====

2.
VASP calculation (PBE) on crystalline Sb2PbSI at its relaxed geometry.

abc: 5.953 5.953 5.946
angles: 90.00 90.00 90.00
Space group P4/mmm (No. 123)
One atom of each set of equivalent atoms:
Sb  0.000  0.500  0.000
Pb  0.000  0.000  0.000
S  0.500  0.500  0.500
I  0.000  0.000  0.500

Results
Total moment, μB per cell: 0.52
Crystal system: tetragonal
Uncorrected formation energy, meV/atom: 1017
DOS at the Fermi energy, states/eV/atom: 1.064
Calculated volume, Å³ per cell: 210.72
E, eV per formula unit: -12.5
Excess energy over the best structure of this formula in the dataset, meV per atom: 634

=====

3.
VASP calculation (PBE) on crystalline Mg5Ru at its relaxed geometry.

abc: 7.773 7.773 7.773
angles: 90.00 90.00 90.00
Space group F-43m (No. 216)
One atom of each set of equivalent atoms:
Mg  0.000  0.000  0.000
Mg  0.124  0.124  0.376
Ru  0.250  0.250  0.750

Results
Total moment, μB per cell: 0.00
Crystal system: cubic
DOS at the Fermi energy, states/eV/atom: 0.844
Formation enthalpy at 0 K, eV per atom: 0.31
Calculated volume, Å³ per cell: 469.66
E, eV per formula unit: -15.4
Excess energy over the best structure of this formula in the dataset, meV per atom: 323